No. 1
Pr2ZnSi4Pt3 | GGA-PBE | optimized geometry

## Properties
Total energy   -6.05 eV per atom

a = 4.266 Å, b = 4.266 Å, c = 10.011 Å
α = 90.00°, β = 90.00°, γ = 90.00°
Space group P-4m2 (No. 115)
Unique sites:
Pr: 0.000 0.500 0.248 x2
Zn: 0.000 0.000 0.500 x1
Si: 0.000 0.000 0.000 x1
Si: 0.000 0.500 0.637 x2
Si: 0.500 0.500 0.000 x1
Pt: 0.000 0.500 0.881 x2
Pt: 0.500 0.500 0.500 x1



No. 2
PrZnSi2Pt5 | GGA-PBE | optimized geometry

## Properties
Total energy   -5.95 eV per atom

a = 4.099 Å, b = 4.099 Å, c = 10.348 Å
α = 90.00°, β = 90.00°, γ = 90.00°
Space group P4/mmm (No. 123)
Unique sites:
Pr: 0.000 0.000 0.000 x1
Zn: 0.000 0.000 0.500 x1
Si: 0.500 0.500 0.227 x2
Pt: 0.000 0.500 0.342 x4
Pt: 0.500 0.500 0.000 x1



Uncorrected formation energy? In order: -0.985, -0.717 eV/atom.